Entry 1:
CaMgMo2O8: optimized geometry, PBE with a Hubbard U.

Results
The value obtained for the calculated total energy is -6.851 eV per atom.

Unit cell a=6.073 b=6.073 c=6.073 alpha=107.45 beta=107.45 gamma=113.60
Fractional positions:
1 O 0.338 0.136 0.799
2 O 0.388 0.081 0.307
3 O 0.919 0.612 0.693
4 O 0.919 0.226 0.307
5 O 0.461 0.662 0.799
6 O 0.774 0.081 0.693
7 O 0.338 0.539 0.201
8 O 0.864 0.662 0.201
9 Ca 0.000 0.000 0.000
10 Mg 0.250 0.750 0.500
11 Mo 0.500 0.500 0.000
12 Mo 0.750 0.250 0.500



Entry 2:
CaMgMo2O: optimized geometry, PBE with a Hubbard U.

Results
The value obtained for the calculated total energy is -3.703 eV per atom.

Unit cell a=6.119 b=4.097 c=6.119 alpha=90.00 beta=90.00 gamma=90.00
Last column: magnetic moment on the atom in μB.
Fractional positions:
1 Mo 0.500 0.000 0.000  4.18
2 Mo 0.000 0.000 0.500  4.14
3 Mg 0.500 0.500 0.500  -0.04
4 O 0.000 0.500 0.000  0.17
5 Ca 0.000 0.000 0.000  0.07